[1]
HfBeSb2C | meta-GGA SCAN | PBEsol geometry

volume	24.72	Å³ per atom
DOS at the Fermi energy	3.07	states/eV/f.u.
total magnetic moment	0.00	μB per atom
raw formation energy	1319	meV/atom

extended XYZ file:
```
5
Lattice="4.1496 0.0000 0.0000 0.0000 5.4576 0.0000 0.0000 0.0000 5.4576" Properties=species:S:1:pos:R:3 pbc="T T T"
Sb 0.0000 0.0000 2.7288
Be 2.0748 2.7288 2.7288
C 2.0748 0.0000 0.0000
Hf 0.0000 0.0000 0.0000
Sb 0.0000 2.7288 0.0000
```



[2]
BeHg2C | meta-GGA SCAN | PBEsol geometry

volume	14.57	Å³ per atom
formation enthalpy at 0 K	1.599	eV/atom
DOS at the Fermi energy	1.25	states/eV/f.u.
total magnetic moment	0.00	μB per atom

extended XYZ file:
```
4
Lattice="-3.5024 -0.1613 -2.5780 -3.9262 -0.7756 1.7094 -2.9691 3.1776 0.1618" Properties=species:S:1:pos:R:3 pbc="T T T"
Hg -7.7983 1.6805 -0.5301
Hg -2.5994 0.5602 -0.1767
C -5.1989 1.1203 -0.3534
Be 0.0000 0.0000 0.0000
```